(1)
{"formula": "Cs3SrCd2F9", "functional": "PBE-GGA", "state": "relaxed", "raw_formation_energy_mev_per_atom": -2789, "total_magnetization_mub_per_atom": 0.00, "volume_a3_per_cell": 300.3, "cell": [[6.560, 0.000, 0.000], [-3.280, 5.681, 0.000], [0.000, 0.000, 8.058]], "species": ["F", "F", "F", "F", "F", "F", "F", "F", "F", "Cs", "Cs", "Cs", "Sr", "Cd", "Cd"], "fractional_positions": [[0.657, 0.828, 0.325], [0.500, 0.000, 0.000], [0.343, 0.172, 0.675], [0.172, 0.343, 0.325], [0.500, 0.500, 0.000], [0.172, 0.828, 0.325], [0.828, 0.657, 0.675], [0.000, 0.500, 0.000], [0.828, 0.172, 0.675], [0.000, 0.000, 0.000], [0.667, 0.333, 0.325], [0.333, 0.667, 0.675], [0.000, 0.000, 0.500], [0.333, 0.667, 0.161], [0.667, 0.333, 0.839]]}

=====

(2)
{"formula": "CsTbCdF6", "functional": "PBE-GGA", "state": "relaxed", "raw_formation_energy_mev_per_atom": -3180, "total_magnetization_mub_per_atom": 0.00, "volume_a3_per_cell": 400.0, "cell": [[-7.499, -2.654, 2.671], [3.395, -2.741, 6.807], [1.118, 7.922, -2.170]], "species": ["F", "F", "F", "F", "F", "F", "F", "F", "F", "F", "F", "F", "Cd", "Cd", "Cs", "Cs", "Tb", "Tb"], "fractional_positions": [[0.565, 0.319, 0.739], [0.435, 0.681, 0.261], [0.424, 0.674, 0.848], [0.812, 0.062, 0.624], [0.565, 0.920, 0.739], [0.188, 0.938, 0.376], [0.826, 0.080, 0.261], [0.174, 0.920, 0.739], [0.576, 0.326, 0.152], [0.174, 0.319, 0.739], [0.826, 0.681, 0.261], [0.435, 0.080, 0.261], [0.500, 0.500, 0.000], [0.500, 0.000, 0.000], [0.173, 0.423, 0.346], [0.827, 0.577, 0.654], [0.500, 0.000, 0.500], [0.000, 0.000, 0.500]]}

=====

(3)
{"formula": "Cs2TbCdF6", "functional": "PBE-GGA", "state": "relaxed", "raw_formation_energy_mev_per_atom": -2979, "total_magnetization_mub_per_atom": 0.10, "volume_a3_per_cell": 439.2, "cell": [[-4.008, -5.149, 1.814], [4.748, -2.178, 4.311], [-3.809, 5.404, 6.924]], "species": ["Cs", "Cs", "Cs", "Cs", "F", "F", "F", "F", "F", "F", "F", "F", "F", "F", "F", "F", "Cd", "Cd", "Tb", "Tb"], "fractional_positions": [[0.000, 0.251, 0.250], [0.000, 0.251, 0.750], [0.500, 0.749, 0.250], [0.500, 0.749, 0.750], [0.500, 0.246, 0.730], [0.230, 0.983, 0.000], [0.770, 0.523, 0.000], [0.230, 0.523, 0.000], [0.270, 0.017, 0.500], [0.730, 0.477, 0.500], [0.770, 0.983, 0.000], [0.270, 0.477, 0.500], [0.000, 0.754, 0.230], [0.000, 0.754, 0.770], [0.730, 0.017, 0.500], [0.500, 0.246, 0.270], [0.000, 0.749, 0.500], [0.500, 0.251, 0.000], [0.000, 0.753, 0.000], [0.500, 0.247, 0.500]]}

=====

(4)
{"formula": "Cs2TbCd3F12", "functional": "PBE-GGA", "state": "relaxed", "raw_formation_energy_mev_per_atom": -2637, "total_magnetization_mub_per_atom": 0.00, "volume_a3_per_cell": 380.9, "cell": [[-7.984, 1.947, 0.538], [-5.186, -1.299, -6.265], [-5.837, -5.799, 0.366]], "species": ["F", "F", "F", "F", "F", "F", "F", "F", "F", "F", "F", "F", "Cs", "Cs", "Cd", "Cd", "Cd", "Tb"], "fractional_positions": [[0.325, 0.325, 0.917], [0.675, 0.675, 0.083], [0.083, 0.675, 0.675], [0.675, 0.083, 0.675], [0.926, 0.324, 0.926], [0.926, 0.926, 0.324], [0.074, 0.074, 0.676], [0.676, 0.074, 0.074], [0.325, 0.917, 0.325], [0.324, 0.926, 0.926], [0.074, 0.676, 0.074], [0.917, 0.325, 0.325], [0.385, 0.385, 0.385], [0.615, 0.615, 0.615], [0.500, 0.000, 0.000], [0.000, 0.000, 0.500], [0.000, 0.500, 0.000], [0.000, 0.000, 0.000]]}